[1]
This record from the Alexandria database describes Li3Cd3Pb2 after structural relaxation. The functional is PBE-GGA.

Structure (CIF):
```
data_Li3Cd3Pb2
_chemical_formula_sum 'Li3 Cd3 Pb2'
_space_group_name_H-M_alt 'P -6 2 m'
_space_group_IT_number 189
_space_group_name_Hall 'P -6 -2'
_cell_length_a 7.8665
_cell_length_b 7.8665
_cell_length_c 3.3767
_cell_angle_alpha 90.00
_cell_angle_beta 90.00
_cell_angle_gamma 120.00
loop_
_atom_site_label
_atom_site_type_symbol
_atom_site_fract_x
_atom_site_fract_y
_atom_site_fract_z
Li1 Li 0.0000 0.3680 0.0000
Cd1 Cd 0.0000 0.7766 0.5000
Pb1 Pb 0.3333 0.6667 0.5000
```

Calculated values
Calculated formation energy   -0.148 eV per atom
Energy   -2.136 eV per atom



[2]
This record from the Alexandria database describes Li2Cd2Pb7 after structural relaxation. The functional is PBE-GGA.

Structure (CIF):
```
data_Li2Cd2Pb7
_chemical_formula_sum 'Li4 Cd4 Pb14'
_space_group_name_H-M_alt 'C 1 2/m 1'
_space_group_IT_number 12
_space_group_name_Hall '-C 2y'
_cell_length_a 7.975
_cell_length_b 12.604
_cell_length_c 6.108
_cell_angle_alpha 90.00
_cell_angle_beta 94.04
_cell_angle_gamma 90.00
loop_
_atom_site_label
_atom_site_type_symbol
_atom_site_fract_x
_atom_site_fract_y
_atom_site_fract_z
Li1 Li 0.230 0.000 0.318
Cd1 Cd 0.000 0.383 0.500
Pb1 Pb 0.000 0.500 0.000
Pb2 Pb 0.119 0.000 0.788
Pb3 Pb 0.165 0.217 0.221
```

Calculated values
Calculated formation energy   0.013 eV per atom
Energy   -2.861 eV per atom



[3]
This record from the Alexandria database describes Li3Cd3Pb after structural relaxation. The functional is PBE-GGA.

Structure (CIF):
```
data_Li3Cd3Pb
_chemical_formula_sum 'Li18 Cd18 Pb6'
_space_group_name_H-M_alt 'R -3 m'
_space_group_IT_number 166
_space_group_name_Hall '-R 3 2"'
_cell_length_a 6.1027
_cell_length_b 6.1027
_cell_length_c 29.5151
_cell_angle_alpha 90.00
_cell_angle_beta 90.00
_cell_angle_gamma 120.00
loop_
_atom_site_label
_atom_site_type_symbol
_atom_site_fract_x
_atom_site_fract_y
_atom_site_fract_z
Li1 Li 0.0013 0.5006 0.2900
Cd1 Cd 0.0010 0.5005 0.1255
Pb1 Pb 0.0000 0.0000 0.2948
```

Calculated values
Calculated formation energy   -0.105 eV per atom
Relative energy among the computed polymorphs   0 meV per atom
Energy   -1.848 eV per atom



[4]
This record from the Alexandria database describes Li4CdPb3 after structural relaxation. The functional is PBE-GGA.

Structure (CIF):
```
data_Li4CdPb3
_chemical_formula_sum 'Li8 Cd2 Pb6'
_space_group_name_H-M_alt 'I 4/m m m'
_space_group_IT_number 139
_space_group_name_Hall '-I 4 2'
_cell_length_a 4.977
_cell_length_b 4.977
_cell_length_c 13.809
_cell_angle_alpha 90.00
_cell_angle_beta 90.00
_cell_angle_gamma 90.00
loop_
_atom_site_label
_atom_site_type_symbol
_atom_site_fract_x
_atom_site_fract_y
_atom_site_fract_z
Li1 Li 0.000 0.500 0.121
Cd1 Cd 0.000 0.000 0.000
Pb1 Pb 0.000 0.000 0.249
Pb2 Pb 0.000 0.000 0.500
```

Calculated values
Calculated formation energy   -0.267 eV per atom
Energy   -2.729 eV per atom



[5]
This record from the Alexandria database describes Li2CdPb8 after structural relaxation. The functional is PBE-GGA.

Structure (CIF):
```
data_Li2CdPb8
_chemical_formula_sum 'Li4 Cd2 Pb16'
_space_group_name_H-M_alt 'C 1 2/m 1'
_space_group_IT_number 12
_space_group_name_Hall '-C 2y'
_cell_length_a 13.036
_cell_length_b 10.280
_cell_length_c 5.213
_cell_angle_alpha 90.00
_cell_angle_beta 101.68
_cell_angle_gamma 90.00
loop_
_atom_site_label
_atom_site_type_symbol
_atom_site_fract_x
_atom_site_fract_y
_atom_site_fract_z
Li1 Li 0.125 0.000 0.039
Cd1 Cd 0.000 0.000 0.500
Pb1 Pb 0.085 0.260 0.293
Pb2 Pb 0.103 0.500 0.806
Pb3 Pb 0.242 0.000 0.601
```

Calculated values
Calculated formation energy   0.024 eV per atom
Relative energy among the computed polymorphs   78 meV per atom
Energy   -3.105 eV per atom



[6]
This record from the Alexandria database describes Li8Cd2Pb after structural relaxation. The functional is PBE-GGA.

Structure (CIF):
```
data_Li8Cd2Pb
_chemical_formula_sum 'Li16 Cd4 Pb2'
_space_group_name_H-M_alt 'C 1 2/m 1'
_space_group_IT_number 12
_space_group_name_Hall '-C 2y'
_cell_length_a 7.553
_cell_length_b 13.628
_cell_length_c 4.906
_cell_angle_alpha 90.00
_cell_angle_beta 122.60
_cell_angle_gamma 90.00
loop_
_atom_site_label
_atom_site_type_symbol
_atom_site_fract_x
_atom_site_fract_y
_atom_site_fract_z
Li1 Li 0.000 0.209 0.000
Li2 Li 0.085 0.500 0.800
Li3 Li 0.214 0.116 0.666
Cd1 Cd 0.000 0.311 0.500
Pb1 Pb 0.000 0.000 0.000
```

Calculated values
Calculated formation energy   -0.151 eV per atom
Energy   -2.046 eV per atom